1.
## ZrInS2N (PBE-GGA)

Data for crystalline ZrInS2N at its relaxed geometry.

Calculated values
E above lowest polymorph = 0 meV/atom
size of the total moment = 0.0 μB/cell
theoretical density = 4.3 Mg/m³

The structure in CIF format:
```
data_ZrInS2N
_chemical_formula_sum 'Zr1 In1 S2 N1'
_symmetry_space_group_name_H-M 'P 4/m m m'
_symmetry_Int_Tables_number 123
_symmetry_space_group_name_Hall '-P 4 2'
_cell_length_a 5.084
_cell_length_b 5.084
_cell_length_c 4.203
_cell_angle_alpha 90.00
_cell_angle_beta 90.00
_cell_angle_gamma 90.00
loop_
_atom_site_label
_atom_site_fract_x
_atom_site_fract_y
_atom_site_fract_z
Zr1 0.000 0.000 0.000
In1 0.500 0.500 0.500
S1 0.000 0.500 0.000
N1 0.000 0.000 0.500
```

***

2.
## InSb2N (PBE-GGA)

Data for crystalline InSb2N at its relaxed geometry.

Calculated values
E above lowest polymorph = 25 meV/atom
size of the total moment = 0.0 μB/cell
theoretical density = 5.3 Mg/m³

The structure in CIF format:
```
data_InSb2N
_chemical_formula_sum 'In2 Sb4 N2'
_symmetry_space_group_name_H-M 'P 1'
_symmetry_Int_Tables_number 1
_symmetry_space_group_name_Hall 'P 1'
_cell_length_a 5.729
_cell_length_b 6.678
_cell_length_c 6.690
_cell_angle_alpha 87.46
_cell_angle_beta 64.74
_cell_angle_gamma 89.30
loop_
_atom_site_label
_atom_site_fract_x
_atom_site_fract_y
_atom_site_fract_z
In1 0.000 0.000 0.000
In2 0.264 0.964 0.471
Sb1 0.470 0.649 0.059
Sb2 0.479 0.177 0.040
Sb3 0.700 0.870 0.603
Sb4 0.880 0.598 0.240
N1 0.102 0.377 0.628
N2 0.198 0.495 0.683
```

***

3.
## InSb2N (PBE-GGA)

Data for crystalline InSb2N at its relaxed geometry.

Calculated values
E above lowest polymorph = 0 meV/atom
size of the total moment = 0.0 μB/cell
theoretical density = 4.6 Mg/m³

The structure in CIF format:
```
data_InSb2N
_chemical_formula_sum 'In2 Sb4 N2'
_symmetry_space_group_name_H-M 'P 1'
_symmetry_Int_Tables_number 1
_symmetry_space_group_name_Hall 'P 1'
_cell_length_a 5.425
_cell_length_b 6.574
_cell_length_c 7.924
_cell_angle_alpha 89.59
_cell_angle_beta 70.29
_cell_angle_gamma 90.00
loop_
_atom_site_label
_atom_site_fract_x
_atom_site_fract_y
_atom_site_fract_z
In1 0.000 0.000 0.000
In2 0.415 0.253 0.171
Sb1 0.589 0.493 0.820
Sb2 0.596 0.053 0.806
Sb3 0.838 0.288 0.327
Sb4 0.999 0.544 0.003
N1 0.234 0.763 0.527
N2 0.311 0.779 0.378
```

***

4.
## InSb2N (PBE-GGA)

Data for crystalline InSb2N at its relaxed geometry.

Calculated values
E above lowest polymorph = 393 meV/atom
size of the total moment = 0.0 μB/cell
theoretical density = 6.0 Mg/m³

The structure in CIF format:
```
data_InSb2N
_chemical_formula_sum 'In4 Sb8 N4'
_symmetry_space_group_name_H-M 'I -4 2 d'
_symmetry_Int_Tables_number 122
_symmetry_space_group_name_Hall 'I -4 2bw'
_cell_length_a 5.700
_cell_length_b 5.700
_cell_length_c 12.667
_cell_angle_alpha 90.00
_cell_angle_beta 90.00
_cell_angle_gamma 90.00
loop_
_atom_site_label
_atom_site_fract_x
_atom_site_fract_y
_atom_site_fract_z
In1 0.000 0.000 0.000
Sb1 0.155 0.250 0.625
N1 0.000 0.000 0.500
```

***

5.
## InSb3N (PBE-GGA)

Data for crystalline InSb3N at its relaxed geometry.

Calculated values
E above lowest polymorph = 0 meV/atom
size of the total moment = 0.0 μB/cell
theoretical density = 7.2 Mg/m³

The structure in CIF format:
```
data_InSb3N
_chemical_formula_sum 'In1 Sb3 N1'
_symmetry_space_group_name_H-M 'P m -3 m'
_symmetry_Int_Tables_number 221
_symmetry_space_group_name_Hall '-P 4 2 3'
_cell_length_a 4.843
_cell_length_b 4.843
_cell_length_c 4.843
_cell_angle_alpha 90.00
_cell_angle_beta 90.00
_cell_angle_gamma 90.00
loop_
_atom_site_label
_atom_site_fract_x
_atom_site_fract_y
_atom_site_fract_z
In1 0.000 0.000 0.000
Sb1 0.000 0.500 0.500
N1 0.500 0.500 0.500
```

***

6.
## InSb2N (PBE-GGA)

Data for crystalline InSb2N at its relaxed geometry.

Calculated values
E above lowest polymorph = 6 meV/atom
size of the total moment = 0.0 μB/cell
theoretical density = 5.1 Mg/m³

The structure in CIF format:
```
data_InSb2N
_chemical_formula_sum 'In4 Sb8 N4'
_symmetry_space_group_name_H-M 'C 1 m 1'
_symmetry_Int_Tables_number 8
_symmetry_space_group_name_Hall 'C -2y'
_cell_length_a 12.658
_cell_length_b 5.643
_cell_length_c 6.795
_cell_angle_alpha 90.00
_cell_angle_beta 91.58
_cell_angle_gamma 90.00
loop_
_atom_site_label
_atom_site_fract_x
_atom_site_fract_y
_atom_site_fract_z
In1 0.000 0.000 0.000
In2 0.211 0.000 0.726
Sb1 0.007 0.000 0.444
Sb2 0.083 0.500 0.506
Sb3 0.095 0.500 0.932
Sb4 0.311 0.500 0.708
N1 0.299 0.000 0.296
N2 0.320 0.000 0.137
```

***

7.
## InSb2N (PBE-GGA)

Data for crystalline InSb2N at its relaxed geometry.

Calculated values
E above lowest polymorph = 998 meV/atom
size of the total moment = 4.5 μB/cell
theoretical density = 7.2 Mg/m³

The structure in CIF format:
```
data_InSb2N
_chemical_formula_sum 'In4 Sb8 N4'
_symmetry_space_group_name_H-M 'F m -3 m'
_symmetry_Int_Tables_number 225
_symmetry_space_group_name_Hall '-F 4 2 3'
_cell_length_a 6.999
_cell_length_b 6.999
_cell_length_c 6.999
_cell_angle_alpha 90.00
_cell_angle_beta 90.00
_cell_angle_gamma 90.00
loop_
_atom_site_label
_atom_site_fract_x
_atom_site_fract_y
_atom_site_fract_z
In1 0.000 0.000 0.000
Sb1 0.250 0.250 0.250
N1 0.000 0.000 0.500
```

***

8.
## InSb2N (PBE-GGA)

Data for crystalline InSb2N at its relaxed geometry.

Calculated values
E above lowest polymorph = 31 meV/atom
size of the total moment = 0.0 μB/cell
theoretical density = 4.8 Mg/m³

The structure in CIF format:
```
data_InSb2N
_chemical_formula_sum 'In2 Sb4 N2'
_symmetry_space_group_name_H-M 'P 1'
_symmetry_Int_Tables_number 1
_symmetry_space_group_name_Hall 'P 1'
_cell_length_a 6.550
_cell_length_b 6.601
_cell_length_c 7.047
_cell_angle_alpha 76.36
_cell_angle_beta 73.37
_cell_angle_gamma 63.74
loop_
_atom_site_label
_atom_site_fract_x
_atom_site_fract_y
_atom_site_fract_z
In1 0.000 0.000 0.000
In2 0.299 0.169 0.651
Sb1 0.054 0.192 0.323
Sb2 0.136 0.508 0.982
Sb3 0.558 0.449 0.412
Sb4 0.594 0.453 0.997
N1 0.739 0.781 0.566
N2 0.933 0.724 0.518
```

***

9.
## In2SbN (PBE-GGA)

Data for crystalline In2SbN at its relaxed geometry.

Calculated values
E above lowest polymorph = 558 meV/atom
size of the total moment = 0.8 μB/cell
theoretical density = 4.9 Mg/m³

The structure in CIF format:
```
data_In2SbN
_chemical_formula_sum 'In6 Sb3 N3'
_symmetry_space_group_name_H-M 'R -3 m'
_symmetry_Int_Tables_number 166
_symmetry_space_group_name_Hall '-R 3 2"'
_cell_length_a 4.4627
_cell_length_b 4.4627
_cell_length_c 21.4125
_cell_angle_alpha 90.00
_cell_angle_beta 90.00
_cell_angle_gamma 120.00
loop_
_atom_site_label
_atom_site_fract_x
_atom_site_fract_y
_atom_site_fract_z
In1 0.0000 0.0000 0.0922
Sb1 0.0000 0.0000 0.5000
N1 0.0000 0.0000 0.0000
```

***

10.
## In2SbN (PBE-GGA)

Data for crystalline In2SbN at its relaxed geometry.

Calculated values
E above lowest polymorph = 845 meV/atom
size of the total moment = 6.7 μB/cell
theoretical density = 6.8 Mg/m³

The structure in CIF format:
```
data_In2SbN
_chemical_formula_sum 'In8 Sb4 N4'
_symmetry_space_group_name_H-M 'F m -3 m'
_symmetry_Int_Tables_number 225
_symmetry_space_group_name_Hall '-F 4 2 3'
_cell_length_a 7.089
_cell_length_b 7.089
_cell_length_c 7.089
_cell_angle_alpha 90.00
_cell_angle_beta 90.00
_cell_angle_gamma 90.00
loop_
_atom_site_label
_atom_site_fract_x
_atom_site_fract_y
_atom_site_fract_z
In1 0.250 0.250 0.250
Sb1 0.000 0.000 0.000
N1 0.000 0.000 0.500
```

***

11.
## In2SbN (PBE-GGA)

Data for crystalline In2SbN at its relaxed geometry.

Calculated values
E above lowest polymorph = 0 meV/atom
size of the total moment = 0.0 μB/cell
theoretical density = 6.3 Mg/m³

The structure in CIF format:
```
data_In2SbN
_chemical_formula_sum 'In8 Sb4 N4'
_symmetry_space_group_name_H-M 'I -4 2 d'
_symmetry_Int_Tables_number 122
_symmetry_space_group_name_Hall 'I -4 2bw'
_cell_length_a 5.906
_cell_length_b 5.906
_cell_length_c 11.097
_cell_angle_alpha 90.00
_cell_angle_beta 90.00
_cell_angle_gamma 90.00
loop_
_atom_site_label
_atom_site_fract_x
_atom_site_fract_y
_atom_site_fract_z
In1 0.159 0.250 0.125
Sb1 0.000 0.000 0.500
N1 0.000 0.000 0.000
```

***

12.
## InSb3N (PBE-GGA)

Data for crystalline InSb3N at its relaxed geometry.

Calculated values
E above lowest polymorph = 1213 meV/atom
size of the total moment = 2.8 μB/cell
theoretical density = 4.5 Mg/m³

The structure in CIF format:
```
data_InSb3N
_chemical_formula_sum 'In1 Sb3 N1'
_symmetry_space_group_name_H-M 'P m -3 m'
_symmetry_Int_Tables_number 221
_symmetry_space_group_name_Hall '-P 4 2 3'
_cell_length_a 5.678
_cell_length_b 5.678
_cell_length_c 5.678
_cell_angle_alpha 90.00
_cell_angle_beta 90.00
_cell_angle_gamma 90.00
loop_
_atom_site_label
_atom_site_fract_x
_atom_site_fract_y
_atom_site_fract_z
In1 0.000 0.000 0.000
Sb1 0.000 0.000 0.500
N1 0.500 0.500 0.500
```

***

- Among the records above, which one has the highest E above lowest polymorph?
  number 12

***

- E above lowest polymorph of number 4 (InSb2N)?
  393 meV/atom